ZrZn11Ge PBE-GGA optimized geometry; SG = C2/m; energy relative to the elements = -32.0 kJ/mol of formula units
1.0
2.6852 -6.2028 0.0000
2.6852 6.2028 0.0000
-2.5744 0.0000 6.1245
Zr Zn Ge
1 11 1
Direct
0.0000 0.0000 0.0000 Zr
0.0000 0.5000 0.0000 Zn
0.0031 0.3596 0.3496 Zn
0.2994 0.5133 0.7912 Zn
0.3596 0.0031 0.3496 Zn
0.4867 0.7006 0.2088 Zn
0.5000 0.0000 0.0000 Zn
0.5000 0.5000 0.5000 Zn
0.5133 0.2994 0.7912 Zn
0.6404 0.9969 0.6504 Zn
0.7006 0.4867 0.2088 Zn
0.9969 0.6404 0.6504 Zn
0.0000 0.0000 0.5000 Ge

ZrZn2Ge PBE-GGA optimized geometry; SG = R-3m; energy relative to the elements = 123.8 kJ/mol of formula units
1.0
1.5097 0.8717 9.8830
-1.5097 0.8717 9.8830
0.0000 -1.7433 9.8830
Zr Zn Ge
1 2 1
Direct
0.0000 0.0000 0.0000 Zr
0.0942 0.0942 0.0942 Zn
0.9058 0.9058 0.9058 Zn
0.5000 0.5000 0.5000 Ge

ZrZn2Ge PBE-GGA optimized geometry; SG = I-42d; energy relative to the elements = -37.3 kJ/mol of formula units
1.0
-3.7051 3.7051 2.7039
3.7051 -3.7051 2.7039
3.7051 3.7051 -2.7039
Zr Zn Ge
2 4 2
Direct
0.0000 0.0000 0.0000 Zr
0.7500 0.2500 0.5000 Zr
0.1577 0.1250 0.5327 Zn
0.3750 0.8423 0.9673 Zn
0.5923 0.6250 0.4673 Zn
0.8750 0.4077 0.0327 Zn
0.2500 0.7500 0.5000 Ge
0.5000 0.5000 0.0000 Ge

ZrZn2Ge PBE-GGA optimized geometry; SG = P4/mmm; energy relative to the elements = -151.0 kJ/mol of formula units
1.0
3.9869 0.0000 0.0000
0.0000 3.9869 0.0000
0.0000 0.0000 4.2303
Zr Zn Ge
1 2 1
Direct
0.0000 0.0000 0.0000 Zr
0.0000 0.5000 0.5000 Zn
0.5000 0.0000 0.5000 Zn
0.5000 0.5000 0.0000 Ge

ZrZn3Ge PBE-GGA optimized geometry; SG = Pm-3m; energy relative to the elements = 269.5 kJ/mol of formula units
1.0
4.6742 0.0000 0.0000
0.0000 4.6742 0.0000
0.0000 0.0000 4.6742
Zr Zn Ge
1 3 1
Direct
0.0000 0.0000 0.0000 Zr
0.0000 0.5000 0.5000 Zn
0.5000 0.0000 0.5000 Zn
0.5000 0.5000 0.0000 Zn
0.5000 0.5000 0.5000 Ge

ZrZn2Ge PBE-GGA optimized geometry; SG = I4/mmm; energy relative to the elements = -128.6 kJ/mol of formula units
1.0
-1.9869 1.9869 8.6688
1.9869 -1.9869 8.6688
1.9869 1.9869 -8.6688
Zr Zn Ge
2 4 2
Direct
0.1262 0.1262 0.0000 Zr
0.8738 0.8738 0.0000 Zr
0.0000 0.5000 0.5000 Zn
0.3976 0.3976 0.0000 Zn
0.5000 0.0000 0.5000 Zn
0.6024 0.6024 0.0000 Zn
0.2500 0.7500 0.5000 Ge
0.7500 0.2500 0.5000 Ge

Zr4Ge PBE-GGA optimized geometry; SG = Pm-3m; energy relative to the elements = 136.3 kJ/mol of formula units
1.0
5.0471 0.0000 0.0000
0.0000 5.0471 0.0000
0.0000 0.0000 5.0471
Zr Ge
4 1
Direct
0.0000 0.0000 0.0000 Zr
0.0000 0.5000 0.5000 Zr
0.5000 0.0000 0.5000 Zr
0.5000 0.5000 0.0000 Zr
0.5000 0.5000 0.5000 Ge

Zr6Ge5 PBE-GGA optimized geometry; SG = C2/m; energy relative to the elements = -627.4 kJ/mol of formula units
1.0
3.3208 -5.7379 0.0000
3.3208 5.7379 0.0000
-2.2220 0.0000 6.2981
Zr Ge
6 5
Direct
0.0829 0.4178 0.7479 Zr
0.2503 0.2503 0.2434 Zr
0.4178 0.0829 0.7479 Zr
0.5822 0.9171 0.2521 Zr
0.7497 0.7497 0.7566 Zr
0.9171 0.5822 0.2521 Zr
0.1694 0.8306 0.0000 Ge
0.3344 0.6656 0.5000 Ge
0.5000 0.5000 0.0000 Ge
0.6656 0.3344 0.5000 Ge
0.8306 0.1694 0.0000 Ge